1.
Density functional theory data (PBE-GGA) for a geometry-optimized GaCoS2 structure.

POSCAR file:
```
GaCoS2
1.0
-2.659 2.659 5.246
2.659 -2.659 5.246
2.659 2.659 -5.246
Ga Co S
2 2 4
direct
0.000 0.000 0.000 Ga
0.750 0.250 0.500 Ga
0.250 0.750 0.500 Co
0.500 0.500 0.000 Co
0.141 0.625 0.016 S
0.375 0.391 0.516 S
0.609 0.125 0.984 S
0.875 0.859 0.484 S
```

ΔE_f (raw): -406.0 meV per atom
SG: I-42d, No. 122

---

2.
Density functional theory data (PBE-GGA) for a geometry-optimized GaCoS2 structure.

POSCAR file:
```
GaCoS2
1.0
1.775 1.025 7.006
-1.775 1.025 7.006
0.000 -2.049 7.006
Ga Co S
1 1 2
direct
0.000 0.000 0.000 Ga
0.500 0.500 0.500 Co
0.398 0.398 0.398 S
0.602 0.602 0.602 S
```

ΔE_f (raw): -75.0 meV per atom
SG: R-3m, No. 166

---

3.
Density functional theory data (PBE-GGA) for a geometry-optimized GaCo6S8 structure.

POSCAR file:
```
GaCo6S8
1.0
4.372 2.524 3.441
-4.372 2.524 3.441
0.000 -5.048 3.441
Ga Co S
1 6 8
direct
0.000 0.000 0.000 Ga
0.184 0.406 0.564 Co
0.406 0.564 0.184 Co
0.436 0.816 0.594 Co
0.564 0.184 0.406 Co
0.594 0.436 0.816 Co
0.816 0.594 0.436 Co
0.145 0.727 0.374 S
0.249 0.249 0.249 S
0.273 0.626 0.855 S
0.374 0.145 0.727 S
0.626 0.855 0.273 S
0.727 0.374 0.145 S
0.751 0.751 0.751 S
0.855 0.273 0.626 S
```

ΔE_f (raw): -355.7 meV per atom
SG: R-3, No. 148

---

4.
Density functional theory data (PBE-GGA) for a geometry-optimized GaCo2S structure.

POSCAR file:
```
GaCo2S
1.0
0.000 2.915 2.915
2.915 0.000 2.915
2.915 2.915 0.000
Ga Co S
1 2 1
direct
0.000 0.000 0.000 Ga
0.250 0.250 0.250 Co
0.750 0.750 0.750 Co
0.500 0.500 0.500 S
```

ΔE_f (raw): 131.4 meV per atom
SG: Fm-3m, No. 225

---

5.
Density functional theory data (PBE-GGA) for a geometry-optimized Ga3CoS structure.

POSCAR file:
```
Ga3CoS
1.0
4.566 0.000 0.000
0.000 4.566 0.000
0.000 0.000 4.566
Ga Co S
3 1 1
direct
0.000 0.000 0.500 Ga
0.000 0.500 0.000 Ga
0.500 0.000 0.000 Ga
0.000 0.000 0.000 Co
0.500 0.500 0.500 S
```

ΔE_f (raw): 5.0 meV per atom
SG: Pm-3m, No. 221

---

6.
Density functional theory data (PBE-GGA) for a geometry-optimized GaCoS3 structure.

POSCAR file:
```
GaCoS3
1.0
4.494 0.000 0.000
0.000 4.494 0.000
0.000 0.000 4.494
Ga Co S
1 1 3
direct
0.000 0.000 0.000 Ga
0.500 0.500 0.500 Co
0.000 0.500 0.500 S
0.500 0.000 0.500 S
0.500 0.500 0.000 S
```

ΔE_f (raw): 289.4 meV per atom
SG: Pm-3m, No. 221

---

7.
Density functional theory data (PBE-GGA) for a geometry-optimized GaCoSbS2 structure.

POSCAR file:
```
GaCoSbS2
1.0
4.580 0.000 0.000
0.000 4.580 0.000
0.000 0.000 5.531
Ga Co Sb S
1 1 1 2
direct
0.000 0.000 0.000 Ga
0.500 0.500 0.500 Co
0.000 0.000 0.500 Sb
0.000 0.500 0.000 S
0.500 0.000 0.000 S
```

ΔE_f (raw): 905.5 meV per atom
SG: P4/mmm, No. 123

---

8.
Density functional theory data (PBE-GGA) for a geometry-optimized Sm3GaCoS7 structure.

POSCAR file:
```
Sm3GaCoS7
1.0
9.710 0.000 0.000
-4.855 8.409 0.000
0.000 0.000 6.218
Sm Ga Co S
6 2 2 14
direct
0.158 0.374 0.000 Sm
0.216 0.842 0.000 Sm
0.374 0.216 0.500 Sm
0.626 0.784 0.000 Sm
0.784 0.158 0.500 Sm
0.842 0.626 0.500 Sm
0.333 0.667 0.576 Ga
0.667 0.333 0.076 Ga
0.000 0.000 0.159 Co
0.000 0.000 0.659 Co
0.087 0.565 0.726 S
0.095 0.219 0.405 S
0.124 0.905 0.405 S
0.219 0.124 0.905 S
0.333 0.667 0.212 S
0.435 0.522 0.726 S
0.478 0.913 0.726 S
0.522 0.087 0.226 S
0.565 0.478 0.226 S
0.667 0.333 0.712 S
0.781 0.876 0.405 S
0.876 0.095 0.905 S
0.905 0.781 0.905 S
0.913 0.435 0.226 S
```

ΔE_f (raw): -1468.1 meV per atom
SG: P6_3, No. 173

---

> ΔE_f (raw) of number 7 (GaCoSbS2)?

905.5 meV per atom

---

> The lowest ΔE_f (raw) belongs to which entry?

Sm3GaCoS7

---

Repeat the third record exactly.
Density functional theory data (PBE-GGA) for a geometry-optimized GaCo6S8 structure.

POSCAR file:
```
GaCo6S8
1.0
4.372 2.524 3.441
-4.372 2.524 3.441
0.000 -5.048 3.441
Ga Co S
1 6 8
direct
0.000 0.000 0.000 Ga
0.184 0.406 0.564 Co
0.406 0.564 0.184 Co
0.436 0.816 0.594 Co
0.564 0.184 0.406 Co
0.594 0.436 0.816 Co
0.816 0.594 0.436 Co
0.145 0.727 0.374 S
0.249 0.249 0.249 S
0.273 0.626 0.855 S
0.374 0.145 0.727 S
0.626 0.855 0.273 S
0.727 0.374 0.145 S
0.751 0.751 0.751 S
0.855 0.273 0.626 S
```

ΔE_f (raw): -355.7 meV per atom
SG: R-3, No. 148